Below is a geometry-optimized ZrFeI2O structure, with properties calculated at the PBE+U level.

The calculation puts the energy above the most stable polymorph in this dataset at 0.0 meV per atom.

a = 5.952 Å, b = 5.952 Å, c = 4.027 Å
α = 90.00°, β = 90.00°, γ = 90.00°
Sites, in units of the cell vectors:
Zr 0.000 0.000 0.000
Fe 0.500 0.500 0.500
I 0.000 0.500 0.000
I 0.500 0.000 0.000
O 0.000 0.000 0.500